Material: CeAsPd3
Method: DFT, PBE
State: relaxed

```
CeAsPd3
1.0
-1.625 -1.302 4.814
3.602 -3.809 0.186
4.386 7.795 0.731
As Pd Ce
2 6 2
Cartesian
4.488 0.715 1.709 As
0.000 0.000 0.000 As
3.255 3.173 1.957 Pd
4.039 -1.519 0.953 Pd
2.271 0.351 0.862 Pd
3.107 -0.489 3.774 Pd
5.422 1.695 3.692 Pd
6.220 2.334 1.328 Pd
3.540 3.592 5.024 Ce
0.209 0.345 3.021 Ce
```

## Properties
**Formation enthalpy at 0 K**: -457 meV/atom

***

Material: SmTe4Pb2
Method: DFT, PBE
State: relaxed

```
SmTe4Pb2
1.0
-1.910 2.849 2.832
4.130 -5.082 4.404
11.750 8.770 -0.899
Te Pb Sm
8 4 2
Cartesian
4.920 5.810 0.967 Te
5.105 2.521 4.399 Te
3.203 1.887 0.261 Te
2.470 0.554 4.601 Te
10.767 4.650 6.076 Te
8.865 4.016 1.938 Te
-0.955 1.424 1.416 Te
11.500 5.983 1.736 Te
12.381 6.979 4.821 Pb
1.589 -0.442 1.516 Pb
6.001 2.851 1.178 Pb
7.969 3.686 5.159 Pb
5.453 -0.705 4.386 Sm
8.517 7.243 1.951 Sm
```

## Properties
**Formation energy without anion corrections**: -4.4 eV/f.u.

***

Material: Ti2Ge4Ru
Method: DFT, PBE
State: relaxed

```
Ti2Ge4Ru
1.0
-2.195 3.793 1.794
0.006 -2.022 4.282
4.522 3.546 4.286
Ti Ge Ru
2 4 1
Cartesian
2.279 3.888 7.069 Ti
0.054 1.429 3.293 Ti
0.012 2.814 6.565 Ge
-1.098 1.896 0.897 Ge
0.003 -1.011 2.141 Ge
2.320 2.503 3.797 Ge
0.000 0.000 0.000 Ru
```

## Properties
**Formation enthalpy at 0 K**: 185 meV/atom

***

Material: Be2InPb
Method: DFT, PBE
State: relaxed

```
Be2InPb
1.0
-0.038 1.090 2.904
-1.653 -2.463 0.903
6.900 -4.040 1.607
In Pb Be
1 1 2
Cartesian
2.885 -1.689 0.672 In
4.855 -4.024 3.231 Pb
0.354 -1.389 2.183 Be
0.565 -0.331 0.132 Be
```

## Properties
**Distance to the lowest polymorph of the same formula**: 137 meV per atom
**Formation enthalpy at 0 K**: 484 meV/atom

***

Material: La2Ga6Pt3
Method: DFT, PBE
State: relaxed

```
La2Ga6Pt3
1.0
-1.003 3.995 1.343
-4.304 -2.999 5.707
7.514 1.488 1.185
Ga Pt La
6 3 2
Cartesian
-1.816 1.081 2.415 Ga
-3.474 -2.421 4.606 Ga
1.795 2.452 1.034 Ga
6.066 1.201 0.956 Ga
0.619 -0.291 1.329 Ga
1.728 0.948 5.457 Ga
0.676 1.443 3.199 Pt
-3.227 0.098 4.285 Pt
4.257 2.940 1.422 Pt
-0.364 -1.503 4.199 La
3.575 -0.008 2.692 La
```

## Properties
**Formation enthalpy at 0 K**: -820 meV/atom

***

Material: CsRb2ErF6
Method: DFT, PBE
State: relaxed

```
CsRb2ErF6
1.0
6.705 0.000 0.047
0.000 7.071 0.000
0.124 0.000 9.602
Rb F Cs Er
4 12 2 2
Cartesian
6.720 0.306 7.112 Rb
0.109 6.765 2.538 Rb
3.523 3.841 7.362 Rb
3.306 3.229 2.287 Rb
5.969 4.107 2.014 F
4.424 1.748 5.664 F
1.591 1.117 4.470 F
2.678 6.499 6.792 F
1.823 4.652 0.355 F
0.860 2.963 7.636 F
1.010 1.788 0.839 F
5.005 2.419 9.294 F
5.818 5.283 8.810 F
4.150 0.572 2.858 F
5.237 5.954 5.180 F
2.404 5.323 3.985 F
3.352 0.000 0.023 Cs
0.062 3.535 4.801 Cs
0.000 3.535 0.000 Er
3.414 0.000 4.825 Er
```

## Properties
**Formation energy without anion corrections**: -33.4 eV/f.u.

***

Number 1: magnetic moment 1.82 μB per cell. Number 2: magnetic moment 0.00 μB per cell. Number 3: magnetic moment 0.00 μB per cell. Number 4: magnetic moment 0.00 μB per cell. Number 5: magnetic moment 0.00 μB per cell. Number 6: magnetic moment 0.45 μB per cell.